1.
The following is a DFT calculation (PBE) of crystalline LaBeOs2 at its relaxed geometry.

abc: 2.9245 2.9245 7.7378
angles: 90.00 90.00 90.00
Last column: nearest neighbours and their distance in Å.
Element x y z (fractional)
1 Os 0.0000 0.0000 0.0610  8 Os 2.63-2.92, 1 Be 2.86
2 Os 0.5000 0.5000 0.2720  4 Be 2.40, 4 Os 2.63
3 Be 0.0000 0.0000 0.4303  4 Os 2.40
4 La 0.5000 0.5000 0.7367  4 La 2.92, 4 Be 3.15, 4 Os 3.25


2.
The following is a DFT calculation (PBE) of crystalline LaBe3Os at its relaxed geometry.

abc: 12.6797 8.1735 8.1735
angles: 95.30 133.78 46.22
Last column: nearest neighbours and their distance in Å.
Element x y z (fractional)
1 Be 0.7225 0.5946 0.7119  3 Be 2.18-2.27, 1 Os 2.26
2 Be 0.2225 0.7881 0.9054  3 Be 2.18-2.27, 1 Os 2.26
3 La 0.2500 0.8515 0.3515  4 Be 2.88-3.20, 2 Os 3.04, 2 La 3.16
4 Be 0.7775 0.2119 0.0946  3 Be 2.18-2.27, 1 Os 2.26
5 Be 0.6492 0.4439 0.2137  5 Be 2.16-2.22, 2 Os 2.30-2.41
6 Os 0.6524 0.8755 0.4881  6 Be 2.26-2.47
7 La 0.7500 0.1485 0.6485  4 Be 2.88-3.20, 2 Os 3.04, 2 La 3.16
8 Os 0.1524 0.0119 0.6245  6 Be 2.26-2.47
9 Be 0.3508 0.5561 0.7863  5 Be 2.16-2.22, 2 Os 2.30-2.41
10 Be 0.0779 0.6580 0.3468  5 Be 2.16-2.27, 1 Os 2.41
11 Be 0.2775 0.4054 0.2881  3 Be 2.18-2.27, 1 Os 2.26
12 Os 0.8476 0.9881 0.3755  6 Be 2.26-2.47
13 La 0.7500 0.6427 0.1427  2 Os 2.77, 2 Be 2.95
14 Be 0.5779 0.1532 0.8420  5 Be 2.16-2.27, 1 Os 2.41
15 Os 0.3476 0.1245 0.5119  6 Be 2.26-2.47
16 Be 0.1492 0.2863 0.0561  5 Be 2.16-2.22, 2 Os 2.30-2.41
17 Be 0.8508 0.7137 0.9439  5 Be 2.16-2.22, 2 Os 2.30-2.41
18 Be 0.9221 0.3419 0.6532  5 Be 2.16-2.27, 1 Os 2.41
19 La 0.2500 0.3573 0.8573  2 Os 2.77, 2 Be 2.95
20 Be 0.4221 0.8468 0.1580  5 Be 2.16-2.27, 1 Os 2.41


3.
The following is a DFT calculation (PBE) of crystalline La2BeOs at its relaxed geometry.

abc: 6.1614 6.1614 4.5840
angles: 68.14 68.14 34.37
Last column: nearest neighbours and their distance in Å.
Element x y z (fractional)
1 La 0.2279 0.2279 0.2720  4 Be 3.08, 2 Os 3.27, 2 La 3.27
2 Os 0.4430 0.4430 0.5571  2 Be 2.28
3 Be 0.8167 0.8167 0.6830  2 Os 2.28
4 La 0.0124 0.0124 0.9878  4 Os 3.02, 2 Be 3.12, 2 La 3.27


4.
The following is a DFT calculation (PBE) of crystalline LaBe3Os at its relaxed geometry.

abc: 3.3271 6.6692 6.6692
angles: 142.96 90.00 90.00
Last column: nearest neighbours and their distance in Å.
Element x y z (fractional)
1 Be 0.0000 0.3035 0.6965  4 Be 2.15, 1 Os 2.22
2 Be 0.5000 0.6157 0.8671  4 Be 2.05-2.19
3 Os 0.0000 0.4791 0.5209  5 Be 2.22-2.36
4 La 0.5000 0.0969 0.9031  4 Be 3.02-3.10, 4 Os 3.08, 2 La 3.33
5 Be 0.5000 0.1329 0.3843  4 Be 2.05-2.19


5.
The following is a DFT calculation (PBE) of crystalline LaBeOs2 at its relaxed geometry.

abc: 9.3919 9.3919 9.3919
angles: 17.73 17.73 17.73
Last column: nearest neighbours and their distance in Å.
Element x y z (fractional)
1 Be 0.5160 0.5160 0.5160  3 Os 2.41
2 La 0.7534 0.7534 0.7534  6 La 2.89, 3 Be 3.14
3 Os 0.2455 0.2455 0.2455  3 Be 2.41, 3 Os 2.63
4 Os 0.9852 0.9852 0.9852  9 Os 2.63-2.89


6.
The following is a DFT calculation (PBE) of crystalline LaBe3Os at its relaxed geometry.

abc: 7.2921 7.2921 3.8353
angles: 90.00 90.00 132.99
Last column: nearest neighbours and their distance in Å.
Element x y z (fractional)
1 La 0.5898 0.4102 0.7500  2 Be 2.78, 2 La 3.07
2 Be 0.0000 0.0000 0.0000  2 Be 1.92
3 Be 0.9321 0.4171 0.2500  3 Be 2.03-2.12
4 Be 0.5829 0.0679 0.2500  3 Be 2.03-2.12
5 La 0.4102 0.5898 0.2500  2 Be 2.78, 2 La 3.07
6 Os 0.8415 0.1585 0.7500  8 Be 2.31-2.44
7 Os 0.1585 0.8415 0.2500  8 Be 2.31-2.44
8 Be 0.0679 0.5829 0.7500  3 Be 2.03-2.12
9 Be 0.0000 0.0000 0.5000  2 Be 1.92
10 Be 0.4171 0.9321 0.7500  3 Be 2.03-2.12


7.
The following is a DFT calculation (PBE) of crystalline LaBe3Os at its relaxed geometry.

abc: 11.7291 5.7714 5.7714
angles: 144.19 136.03 43.97
Last column: nearest neighbours and their distance in Å.
Element x y z (fractional)
1 La 0.7899 0.1456 0.8544  7 Be 2.88-3.19
2 Be 0.7945 0.4043 0.5957  4 Be 2.05-2.19
3 Os 0.3958 0.9921 0.0079  6 Be 2.32-2.53, 1 Os 2.58
4 Be 0.9328 0.7575 0.2425  5 Be 2.10-2.29
5 Be 0.2055 0.5957 0.4043  4 Be 2.05-2.19
6 Be 0.0672 0.2425 0.7575  5 Be 2.10-2.29
7 Be 0.4459 0.3195 0.6805  3 Be 2.04-2.05
8 Os 0.6042 0.0079 0.9921  6 Be 2.32-2.53, 1 Os 2.58
9 La 0.2101 0.8544 0.1456  7 Be 2.88-3.19
10 Be 0.5541 0.6805 0.3195  3 Be 2.04-2.05


8.
The following is a DFT calculation (PBE) of crystalline LaBeOs2 at its relaxed geometry.

abc: 4.2970 2.9937 5.5857
angles: 77.66 90.00 90.00
Last column: nearest neighbours and their distance in Å.
Element x y z (fractional)
1 Os 0.5000 0.3955 0.2337  2 Be 2.40, 2 Os 2.64
2 La 0.5000 0.7584 0.7236  3 Os 2.82-3.15, 2 La 2.99, 4 Be 3.05-3.09
3 Os 0.0000 0.9839 0.1127  2 Be 2.28-2.30
4 Be 0.0000 0.3621 0.4300  4 Os 2.28-2.40


9.
The following is a DFT calculation (PBE) of crystalline LaBeOs2 at its relaxed geometry.

abc: 4.8781 4.8781 3.0787
angles: 90.00 90.00 108.59
Last column: nearest neighbours and their distance in Å.
Element x y z (fractional)
1 Os 0.0000 0.0000 0.0000  4 Os 2.85-3.08, 4 Be 2.88, 4 La 2.88
2 Os 0.5000 0.5000 0.0000  4 Os 2.85-3.08, 4 La 2.88, 4 Be 2.88
3 Be 0.5000 0.0000 0.5000  2 La 2.85, 8 Os 2.88, 2 Be 3.08
4 La 0.0000 0.5000 0.5000  2 Be 2.85, 8 Os 2.88, 2 La 3.08


10.
The following is a DFT calculation (PBE) of crystalline LaBe3Os at its relaxed geometry.

abc: 3.8527 6.1109 6.5617
angles: 101.49 90.00 71.63
Last column: nearest neighbours and their distance in Å.
Element x y z (fractional)
1 Be 0.4359 0.5414 0.2702  4 Be 2.16-2.34, 2 Os 2.30
2 La 0.5535 0.3058 0.6171  6 Be 2.70-3.00
3 Os 0.7934 0.8264 0.8328  8 Be 2.30-2.48
4 Be 0.8737 0.6658 0.4534  4 Be 2.30-2.31, 2 Os 2.47
5 La 0.1934 0.0260 0.2902  6 Be 2.70-3.00
6 Os 0.9541 0.5053 0.0742  8 Be 2.30-2.48
7 Be 0.1555 0.1022 0.8831  3 Be 2.16-2.20, 1 Os 2.41
8 Be 0.3737 0.6661 0.9536  2 Be 2.34, 4 Os 2.35
9 Be 0.3114 0.7903 0.6369  4 Be 2.16-2.34, 2 Os 2.30
10 Be 0.5917 0.2297 0.0243  3 Be 2.16-2.20, 1 Os 2.41


11.
The following is a DFT calculation (PBE) of crystalline La4BeOs at its relaxed geometry.

abc: 6.1464 6.1464 6.1464
angles: 60.00 60.00 60.00
Last column: nearest neighbours and their distance in Å.
Element x y z (fractional)
1 La 0.8711 0.3763 0.3763  6 La 3.04-3.11
2 La 0.3763 0.8711 0.3763  6 La 3.04-3.11
3 La 0.3763 0.3763 0.8711  6 La 3.04-3.11
4 La 0.3763 0.3763 0.3763  6 La 3.04-3.11
5 Be 0.0000 0.0000 0.0000  12 La 3.61, 4 Os 3.76
6 Os 0.7500 0.7500 0.7500  12 La 3.60, 4 Be 3.76


12.
The following is a DFT calculation (PBE) of crystalline LaBeOs2 at its relaxed geometry.

abc: 5.3496 5.3496 2.9066
angles: 74.90 74.90 114.51
Last column: nearest neighbours and their distance in Å.
Element x y z (fractional)
1 Be 0.5000 0.0000 0.5000  4 Os 2.69, 4 La 2.89-2.95, 2 Be 2.91
2 La 0.0000 0.5000 0.5000  4 Os 2.69, 4 Be 2.89-2.95, 2 La 2.91
3 Os 0.0000 0.0000 0.0000  2 La 2.69, 2 Be 2.69, 6 Os 2.89-2.95
4 Os 0.5000 0.5000 0.0000  2 Be 2.69, 2 La 2.69, 6 Os 2.89-2.95


13.
The following is a DFT calculation (PBE) of crystalline LaBeOs2 at its relaxed geometry.

abc: 8.8353 8.8353 8.8353
angles: 18.97 18.97 18.97
Last column: nearest neighbours and their distance in Å.
Element x y z (fractional)
1 Be 0.2500 0.2500 0.2500  6 Os 2.35
2 Os 0.5201 0.5201 0.5201  3 Be 2.35
3 La 0.7500 0.7500 0.7500  6 La 2.91, 6 Os 3.17
4 Os 0.9799 0.9799 0.9799  3 Be 2.35


14.
The following is a DFT calculation (PBE) of crystalline LaBeOs2 at its relaxed geometry.

abc: 4.4629 4.4629 4.4629
angles: 111.59 111.59 105.31
Last column: nearest neighbours and their distance in Å.
Element x y z (fractional)
1 Be 0.5000 0.5000 0.0000  6 Os 2.71-2.85, 4 La 2.85
2 Os 0.0000 0.0000 0.0000  2 Be 2.71, 4 Os 2.85, 4 La 2.85
3 Os 0.2500 0.7500 0.5000  2 La 2.71, 4 Be 2.85, 4 Os 2.85
4 La 0.7500 0.2500 0.5000  6 Os 2.71-2.85, 4 Be 2.85


15.
The following is a DFT calculation (PBE) of crystalline LaBe3Os at its relaxed geometry.

abc: 3.9425 3.9425 15.5808
angles: 90.00 90.00 120.00
Last column: nearest neighbours and their distance in Å.
Element x y z (fractional)
1 Os 0.3333 0.6667 0.7500  5 Be 2.06-2.28
2 Be 0.0000 0.0000 0.2500  3 Os 2.28
3 Be 0.6667 0.3333 0.3819  1 Os 2.06
4 Be 0.0000 0.0000 0.7500  3 Os 2.28
5 Be 0.6667 0.3333 0.1181  1 Os 2.06
6 Be 0.3333 0.6667 0.8819  1 Os 2.06
7 Be 0.3333 0.6667 0.6181  1 Os 2.06
8 Os 0.6667 0.3333 0.2500  5 Be 2.06-2.28
9 La 0.0000 0.0000 0.0000  6 Be 2.93
10 La 0.0000 0.0000 0.5000  6 Be 2.93


16.
The following is a DFT calculation (PBE) of crystalline LaBeOs2 at its relaxed geometry.

abc: 4.2536 4.2536 5.7391
angles: 68.16 68.16 59.88
Last column: nearest neighbours and their distance in Å.
Element x y z (fractional)
1 La 0.2512 0.2512 0.2483  1 Be 2.87, 1 Os 2.89
2 Be 0.4347 0.4347 0.6950  6 Os 2.47-2.53
3 Os 0.7503 0.7503 0.7503  3 Os 2.47, 3 Be 2.47-2.48
4 Os 0.0638 0.0638 0.8064  3 Os 2.47, 3 Be 2.52-2.53


17.
The following is a DFT calculation (PBE) of crystalline LaBe3Os at its relaxed geometry.

abc: 6.3065 4.8145 4.9465
angles: 81.86 103.31 81.65
Last column: nearest neighbours and their distance in Å.
Element x y z (fractional)
1 Be 0.0309 0.9409 0.8627  2 Be 2.18-2.27, 1 Os 2.37
2 Be 0.4313 0.5485 0.9953  2 Os 2.24, 2 Be 2.41
3 Os 0.1076 0.3942 0.9420  6 Be 2.24-2.49
4 Be 0.4314 0.0484 0.9952  2 Os 2.38, 4 Be 2.41-2.61
5 La 0.2655 0.8256 0.4370  9 Be 2.78-3.02, 1 La 3.04
6 Be 0.8449 0.7298 0.5504  2 Be 2.13-2.18
7 Be 0.0183 0.3665 0.4413  2 Be 2.13-2.18
8 Os 0.7553 0.7024 0.0492  6 Be 2.24-2.49
9 Be 0.8324 0.1556 0.1285  2 Be 2.18-2.27, 1 Os 2.37
10 La 0.5975 0.2710 0.5538  9 Be 2.78-3.02, 1 La 3.04


18.
The following is a DFT calculation (PBE) of crystalline LaBe3Os at its relaxed geometry.

abc: 4.3232 4.3232 9.3623
angles: 90.00 90.00 120.00
Last column: nearest neighbours and their distance in Å.
Element x y z (fractional)
1 Be 0.6667 0.3333 0.5540  3 Os 2.55, 3 Be 2.69, 1 La 2.85
2 Os 0.0000 0.0000 0.0000  8 Be 2.34-2.55
3 La 0.3333 0.6667 0.7500  3 Be 2.50
4 Be 0.0000 0.0000 0.2500  2 Os 2.34, 3 La 2.50
5 Os 0.0000 0.0000 0.5000  8 Be 2.34-2.55
6 La 0.6667 0.3333 0.2500  3 Be 2.50
7 Be 0.3333 0.6667 0.0540  3 Os 2.55, 3 Be 2.69, 1 La 2.85
8 Be 0.6667 0.3333 0.9460  3 Os 2.55, 3 Be 2.69, 1 La 2.85
9 Be 0.3333 0.6667 0.4460  3 Os 2.55, 3 Be 2.69, 1 La 2.85
10 Be 0.0000 0.0000 0.7500  2 Os 2.34, 3 La 2.50


19.
The following is a DFT calculation (PBE) of crystalline La2BeOs2 at its relaxed geometry.

abc: 6.5227 6.5227 4.7769
angles: 90.00 90.00 90.00
Last column: nearest neighbours and their distance in Å.
Element x y z (fractional)
1 Os 0.8603 0.6397 0.0000  2 Be 2.52, 1 Os 2.58
2 Os 0.1397 0.3603 0.0000  2 Be 2.52, 1 Os 2.58
3 La 0.6835 0.8165 0.5000  6 Os 2.89-3.20
4 La 0.8165 0.3165 0.5000  6 Os 2.89-3.20
5 Os 0.6397 0.1397 0.0000  2 Be 2.52, 1 Os 2.58
6 La 0.1835 0.6835 0.5000  6 Os 2.89-3.20
7 La 0.3165 0.1835 0.5000  6 Os 2.89-3.20
8 Os 0.3603 0.8603 0.0000  2 Be 2.52, 1 Os 2.58
9 Be 0.0000 0.0000 0.0000  4 Os 2.52
10 Be 0.5000 0.5000 0.0000  4 Os 2.52


20.
The following is a DFT calculation (PBE) of crystalline LaBe3Os at its relaxed geometry.

abc: 20.4959 6.0637 5.7885
angles: 90.00 155.09 90.00
Last column: nearest neighbours and their distance in Å.
Element x y z (fractional)
1 Os 0.0758 0.7461 0.1923  7 Be 2.26-2.43
2 Be 0.6412 0.3761 0.8060  2 Be 2.03-2.04
3 La 0.1733 0.0265 0.9008  7 Be 2.92-3.21, 2 Os 2.97-3.07
4 Be 0.8588 0.8761 0.6940  2 Be 2.03-2.04
5 La 0.3267 0.5265 0.5992  7 Be 2.92-3.21, 2 Os 2.97-3.07
6 Be 0.9987 0.5407 0.2864  4 Be 2.31-2.51, 2 Os 2.32-2.43
7 Os 0.4242 0.2461 0.3077  7 Be 2.26-2.43
8 Os 0.9242 0.2539 0.8077  7 Be 2.26-2.43
9 La 0.6733 0.4735 0.4008  7 Be 2.92-3.21, 2 Os 2.97-3.07
10 Be 0.3588 0.6239 0.1940  2 Be 2.03-2.04
11 Be 0.6774 0.0886 0.0963  2 Be 2.03-2.04, 1 Os 2.26
12 Be 0.8226 0.5886 0.4037  2 Be 2.03-2.04, 1 Os 2.26
13 Be 0.0013 0.4593 0.7136  4 Be 2.31-2.51, 2 Os 2.32-2.43
14 Be 0.3226 0.9114 0.9037  2 Be 2.03-2.04, 1 Os 2.26
15 Be 0.1774 0.4114 0.5963  2 Be 2.03-2.04, 1 Os 2.26
16 Os 0.5758 0.7539 0.6923  7 Be 2.26-2.43
17 La 0.8267 0.9735 0.0992  7 Be 2.92-3.21, 2 Os 2.97-3.07
18 Be 0.4987 0.9593 0.7864  4 Be 2.31-2.51, 2 Os 2.32-2.43
19 Be 0.1412 0.1239 0.3060  2 Be 2.03-2.04
20 Be 0.5013 0.0407 0.2136  4 Be 2.31-2.51, 2 Os 2.32-2.43


Listing formation energy for the structures above in their given order: 0.1622 -0.0164 0.0162 0.4575 0.6237 0.0388 -0.0925 0.1814 0.8514 -0.1317 1.1051 0.5823 0.5445 0.6196 1.0365 -0.1211 -0.1124 0.2123 0.1654 -0.0906 eV per atom.